1.
{"formula": "PrTl2In", "functional": "GGA-PBE", "state": "relaxed", "lattice": [[3.551, 0.000, 0.000], [-1.775, 3.075, 0.000], [0.000, 0.000, 35.130]], "species": ["Pr", "Pr", "Pr", "Tl", "Tl", "Tl", "Tl", "Tl", "Tl", "In", "In", "In"], "frac_coords": [[0.000, 0.000, 0.000], [0.333, 0.667, 0.667], [0.667, 0.333, 0.333], [0.000, 0.000, 0.092], [0.000, 0.000, 0.908], [0.333, 0.667, 0.575], [0.333, 0.667, 0.759], [0.667, 0.333, 0.241], [0.667, 0.333, 0.425], [0.000, 0.000, 0.500], [0.333, 0.667, 0.167], [0.667, 0.333, 0.833]], "space_group": "R-3m", "energy_ev_per_atom": -2.984, "crystal_system": "trigonal"}

=====

2.
{"formula": "LaYMg2Au", "functional": "GGA-PBE", "state": "relaxed", "lattice": [[5.672, 0.000, 0.000], [0.000, 5.672, 0.000], [0.000, 0.000, 5.318]], "species": ["La", "Y", "Mg", "Mg", "Au"], "frac_coords": [[0.000, 0.000, 0.000], [0.500, 0.500, 0.500], [0.000, 0.500, 0.000], [0.500, 0.000, 0.000], [0.000, 0.000, 0.500]], "space_group": "P4/mmm", "energy_ev_per_atom": -2.883, "crystal_system": "tetragonal"}

=====

3.
{"formula": "YGa2Ni2Pd", "functional": "GGA-PBE", "state": "relaxed", "lattice": [[4.640, 0.000, 0.000], [0.000, 4.640, 0.000], [0.000, 0.000, 5.300]], "species": ["Y", "Ga", "Ga", "Ni", "Ni", "Pd"], "frac_coords": [[0.000, 0.000, 0.000], [0.000, 0.500, 0.500], [0.500, 0.000, 0.500], [0.500, 0.500, 0.245], [0.500, 0.500, 0.755], [0.000, 0.000, 0.500]], "space_group": "P4/mmm", "energy_ev_per_atom": -4.957, "crystal_system": "tetragonal"}

=====

4.
{"formula": "TcPPdO2", "functional": "GGA-PBE", "state": "relaxed", "lattice": [[3.697, 0.000, 0.000], [0.000, 3.697, 0.000], [0.000, 0.000, 5.315]], "species": ["Tc", "P", "Pd", "O", "O"], "frac_coords": [[0.000, 0.000, 0.000], [0.000, 0.000, 0.500], [0.500, 0.500, 0.500], [0.000, 0.500, 0.000], [0.500, 0.000, 0.000]], "space_group": "P4/mmm", "crystal_system": "tetragonal", "e_form_raw_mev_per_atom": -571, "de_polymorph_mev_per_atom": 0.0}